MoAsO2 | PBE with a Hubbard U | relaxed Values from VASP.

Cell and atoms, written as Quantum ESPRESSO input:
```
&SYSTEM
  ibrav = 0, nat = 4, ntyp = 3
/
ATOMIC_SPECIES
Mo 95.94 Mo.upf
As 74.92 As.upf
O 16.00 O.upf
CELL_PARAMETERS angstrom
1.422 0.821 6.920
-1.422 0.821 6.920
0.000 -1.642 6.920
ATOMIC_POSITIONS crystal
Mo 0.000 0.000 0.000
As 0.500 0.500 0.500
O 0.400 0.400 0.400
O 0.600 0.600 0.600
```

Values from the calculation:
Its volume is 12.1 Å³/atom. The space group is R-3m, No. 166.

=====

MoAsO5 | PBE with a Hubbard U | relaxed Values from VASP.

Cell and atoms, written as Quantum ESPRESSO input:
```
&SYSTEM
  ibrav = 0, nat = 28, ntyp = 3
/
ATOMIC_SPECIES
Mo 95.94 Mo.upf
As 74.92 As.upf
O 16.00 O.upf
CELL_PARAMETERS angstrom
6.700 0.000 0.000
0.000 7.699 0.000
0.000 0.000 7.817
ATOMIC_POSITIONS crystal
Mo 0.051 0.220 0.481
Mo 0.449 0.780 0.981
Mo 0.551 0.280 0.519
Mo 0.949 0.720 0.019
As 0.246 0.412 0.867
As 0.254 0.588 0.367
As 0.746 0.088 0.133
As 0.754 0.912 0.633
O 0.043 0.453 0.371
O 0.047 0.558 0.837
O 0.220 0.256 0.007
O 0.226 0.670 0.146
O 0.233 0.110 0.376
O 0.267 0.890 0.876
O 0.274 0.330 0.646
O 0.280 0.744 0.507
O 0.453 0.442 0.337
O 0.457 0.547 0.871
O 0.543 0.047 0.629
O 0.547 0.942 0.163
O 0.720 0.244 0.993
O 0.726 0.830 0.854
O 0.733 0.390 0.624
O 0.767 0.610 0.124
O 0.774 0.170 0.354
O 0.780 0.756 0.493
O 0.953 0.058 0.663
O 0.957 0.953 0.129
```

Values from the calculation:
Its volume is 14.4 Å³/atom. The space group is P2_12_12_1, No. 19.

=====

MoAsO | PBE with a Hubbard U | relaxed Values from VASP.

Cell and atoms, written as Quantum ESPRESSO input:
```
&SYSTEM
  ibrav = 0, nat = 12, ntyp = 3
/
ATOMIC_SPECIES
Mo 95.94 Mo.upf
As 74.92 As.upf
O 16.00 O.upf
CELL_PARAMETERS angstrom
6.988 0.000 0.000
0.000 5.300 0.000
-1.687 0.000 5.598
ATOMIC_POSITIONS crystal
Mo 0.183 0.026 0.244
Mo 0.183 0.474 0.744
Mo 0.817 0.526 0.256
Mo 0.817 0.974 0.756
As 0.467 0.720 0.556
As 0.467 0.780 0.056
As 0.533 0.220 0.944
As 0.533 0.280 0.444
O 0.049 0.221 0.922
O 0.049 0.279 0.422
O 0.951 0.721 0.578
O 0.951 0.779 0.078
```

Values from the calculation:
Its volume is 17.3 Å³/atom. The space group is P2_1/c, No. 14.

=====

Mo2AsO | PBE with a Hubbard U | relaxed Values from VASP.

Cell and atoms, written as Quantum ESPRESSO input:
```
&SYSTEM
  ibrav = 0, nat = 4, ntyp = 3
/
ATOMIC_SPECIES
Mo 95.94 Mo.upf
As 74.92 As.upf
O 16.00 O.upf
CELL_PARAMETERS angstrom
0.000 3.047 3.047
3.047 0.000 3.047
3.047 3.047 0.000
ATOMIC_POSITIONS crystal
Mo 0.250 0.250 0.250
Mo 0.750 0.750 0.750
As 0.000 0.000 0.000
O 0.500 0.500 0.500
```

Values from the calculation:
Its volume is 14.1 Å³/atom. The energy above the most stable polymorph in this dataset is 458.8 meV per atom. The space group is Fm-3m, No. 225.

=====

Mo2AsO | PBE with a Hubbard U | relaxed Values from VASP.

Cell and atoms, written as Quantum ESPRESSO input:
```
&SYSTEM
  ibrav = 0, nat = 8, ntyp = 3
/
ATOMIC_SPECIES
Mo 95.94 Mo.upf
As 74.92 As.upf
O 16.00 O.upf
CELL_PARAMETERS angstrom
-3.183 3.183 3.688
3.183 -3.183 3.688
3.183 3.183 -3.688
ATOMIC_POSITIONS crystal
Mo 0.064 0.125 0.439
Mo 0.375 0.936 0.061
Mo 0.686 0.625 0.561
Mo 0.875 0.314 0.939
As 0.250 0.750 0.500
As 0.500 0.500 0.000
O 0.000 0.000 0.000
O 0.750 0.250 0.500
```

Values from the calculation:
Its volume is 18.7 Å³/atom. The energy above the most stable polymorph in this dataset is 0.0 meV per atom. The space group is I-42d, No. 122.

=====

MoAs3O | PBE with a Hubbard U | relaxed Values from VASP.

Cell and atoms, written as Quantum ESPRESSO input:
```
&SYSTEM
  ibrav = 0, nat = 5, ntyp = 3
/
ATOMIC_SPECIES
Mo 95.94 Mo.upf
As 74.92 As.upf
O 16.00 O.upf
CELL_PARAMETERS angstrom
4.404 0.000 0.000
0.000 4.404 0.000
0.000 0.000 4.404
ATOMIC_POSITIONS crystal
Mo 0.000 0.000 0.000
As 0.000 0.500 0.500
As 0.500 0.000 0.500
As 0.500 0.500 0.000
O 0.500 0.500 0.500
```

Values from the calculation:
Its volume is 17.1 Å³/atom. The energy above the most stable polymorph in this dataset is 0.0 meV per atom. The space group is Pm-3m, No. 221.

=====

MoAs3O | PBE with a Hubbard U | relaxed Values from VASP.

Cell and atoms, written as Quantum ESPRESSO input:
```
&SYSTEM
  ibrav = 0, nat = 5, ntyp = 3
/
ATOMIC_SPECIES
Mo 95.94 Mo.upf
As 74.92 As.upf
O 16.00 O.upf
CELL_PARAMETERS angstrom
4.807 0.000 0.000
0.000 4.807 0.000
0.000 0.000 4.807
ATOMIC_POSITIONS crystal
Mo 0.000 0.000 0.000
As 0.000 0.000 0.500
As 0.000 0.500 0.000
As 0.500 0.000 0.000
O 0.500 0.500 0.500
```

Values from the calculation:
Its volume is 22.2 Å³/atom. The energy above the most stable polymorph in this dataset is 702.0 meV per atom. The space group is Pm-3m, No. 221.

=====

MoAsO2 | PBE with a Hubbard U | relaxed Values from VASP.

Cell and atoms, written as Quantum ESPRESSO input:
```
&SYSTEM
  ibrav = 0, nat = 8, ntyp = 3
/
ATOMIC_SPECIES
Mo 95.94 Mo.upf
As 74.92 As.upf
O 16.00 O.upf
CELL_PARAMETERS angstrom
-2.822 2.822 4.585
2.822 -2.822 4.585
2.822 2.822 -4.585
ATOMIC_POSITIONS crystal
Mo 0.000 0.000 0.000
Mo 0.750 0.250 0.500
As 0.250 0.750 0.500
As 0.500 0.500 0.000
O 0.375 0.243 0.368
O 0.757 0.125 0.132
O 0.875 0.007 0.632
O 0.993 0.625 0.868
```

Values from the calculation:
Its volume is 18.3 Å³/atom. The space group is I-42d, No. 122.

=====

MoAs2O8 | PBE with a Hubbard U | relaxed Values from VASP.

Cell and atoms, written as Quantum ESPRESSO input:
```
&SYSTEM
  ibrav = 0, nat = 11, ntyp = 3
/
ATOMIC_SPECIES
Mo 95.94 Mo.upf
As 74.92 As.upf
O 16.00 O.upf
CELL_PARAMETERS angstrom
5.412 0.000 0.000
-2.706 4.687 0.000
0.000 0.000 6.290
ATOMIC_POSITIONS crystal
Mo 0.000 0.000 0.000
As 0.333 0.667 0.299
As 0.667 0.333 0.701
O 0.166 0.332 0.177
O 0.166 0.834 0.177
O 0.332 0.166 0.823
O 0.333 0.667 0.560
O 0.667 0.333 0.440
O 0.668 0.834 0.177
O 0.834 0.166 0.823
O 0.834 0.668 0.823
```

Values from the calculation:
Its volume is 14.5 Å³/atom. The space group is P-3m1, No. 164.

=====

MoAs2O7 | PBE with a Hubbard U | relaxed Values from VASP.

Cell and atoms, written as Quantum ESPRESSO input:
```
&SYSTEM
  ibrav = 0, nat = 40, ntyp = 3
/
ATOMIC_SPECIES
Mo 95.94 Mo.upf
As 74.92 As.upf
O 16.00 O.upf
CELL_PARAMETERS angstrom
7.845 0.000 0.000
0.000 9.262 0.000
-1.120 0.000 9.879
ATOMIC_POSITIONS crystal
Mo 0.203 0.048 0.307
Mo 0.203 0.452 0.807
Mo 0.797 0.548 0.193
Mo 0.797 0.952 0.693
As 0.169 0.722 0.485
As 0.169 0.778 0.985
As 0.425 0.731 0.259
As 0.425 0.769 0.759
As 0.575 0.231 0.241
As 0.575 0.269 0.741
As 0.831 0.222 0.015
As 0.831 0.278 0.515
O 0.034 0.076 0.181
O 0.034 0.424 0.681
O 0.117 0.633 0.873
O 0.117 0.867 0.373
O 0.170 0.154 0.444
O 0.170 0.346 0.944
O 0.318 0.662 0.110
O 0.318 0.838 0.610
O 0.348 0.646 0.397
O 0.348 0.854 0.897
O 0.363 0.191 0.232
O 0.363 0.309 0.732
O 0.409 0.585 0.764
O 0.409 0.915 0.264
O 0.591 0.085 0.736
O 0.591 0.415 0.236
O 0.637 0.691 0.268
O 0.637 0.809 0.768
O 0.652 0.146 0.103
O 0.652 0.354 0.603
O 0.682 0.162 0.390
O 0.682 0.338 0.890
O 0.830 0.654 0.056
O 0.830 0.846 0.556
O 0.883 0.133 0.627
O 0.883 0.367 0.127
O 0.966 0.576 0.319
O 0.966 0.924 0.819
```

Values from the calculation:
Its volume is 17.9 Å³/atom. The space group is P2_1/c, No. 14.

=====

MoAsO6 | PBE with a Hubbard U | relaxed Values from VASP.

Cell and atoms, written as Quantum ESPRESSO input:
```
&SYSTEM
  ibrav = 0, nat = 8, ntyp = 3
/
ATOMIC_SPECIES
Mo 95.94 Mo.upf
As 74.92 As.upf
O 16.00 O.upf
CELL_PARAMETERS angstrom
2.365 -4.834 0.000
2.365 4.834 0.000
-1.168 0.000 4.587
ATOMIC_POSITIONS crystal
Mo 0.000 0.000 0.000
As 0.500 0.500 0.500
O 0.135 0.393 0.262
O 0.254 0.254 0.744
O 0.393 0.135 0.262
O 0.607 0.865 0.738
O 0.746 0.746 0.256
O 0.865 0.607 0.738
```

Values from the calculation:
Its volume is 13.1 Å³/atom. The space group is C2/m, No. 12.

=====

MoAsPO2 | PBE with a Hubbard U | relaxed Values from VASP.

Cell and atoms, written as Quantum ESPRESSO input:
```
&SYSTEM
  ibrav = 0, nat = 5, ntyp = 4
/
ATOMIC_SPECIES
Mo 95.94 Mo.upf
As 74.92 As.upf
P 30.97 P.upf
O 16.00 O.upf
CELL_PARAMETERS angstrom
3.802 0.000 0.000
0.000 3.802 0.000
0.000 0.000 4.953
ATOMIC_POSITIONS crystal
Mo 0.000 0.000 0.000
As 0.500 0.500 0.500
P 0.500 0.500 0.000
O 0.000 0.500 0.500
O 0.500 0.000 0.500
```

Values from the calculation:
Its volume is 14.3 Å³/atom. The energy above the most stable polymorph in this dataset is 407.9 meV per atom. The space group is P4/mmm, No. 123.

=====

no.,D(E_F) (states/eV per cell),magnetization (μB per formula unit),final energy (eV for the cell shown)
1,1.498,0.000,-24.68
2,0.000,0.983,-179.80
3,2.813,2.723,-73.69
4,2.884,2.998,-21.74
5,1.807,7.000,-47.14
6,1.600,2.945,-24.40
7,3.669,0.000,-20.89
8,3.252,1.932,-46.02
9,0.000,0.001,-68.35
10,0.000,0.000,-255.74
11,4.223,0.873,-48.49
12,1.052,3.390,-27.41